Entry 1:
Entry from the Alexandria database: Cs2DySb2O6 after structural relaxation (PBE).

Geometry as extended XYZ:
```
11
Lattice="-1.1056 6.0066 1.8217 -4.3689 -3.2534 -3.0730 0.4115 -2.1770 7.4281" Properties=species:S:1:pos:R:3 pbc="T T T"
Cs -2.6099 2.4983 1.3276
Cs -2.4530 -1.9221 4.8491
Dy -0.3470 1.9148 4.6249
Sb -4.4119 1.1216 4.7735
Sb -0.6511 -0.5454 1.4032
O -2.5849 1.5977 4.3124
O -4.3998 -2.4104 -0.4585
O -0.0943 -0.1038 5.6980
O -0.6631 2.9866 6.6353
O -4.9686 0.6800 0.4787
O -2.4781 -1.0215 1.8643
```

Properties
Magnetization   0.9 μB per cell
Formation energy without anion corrections   -1.8452 eV/atom
Energy   -64.60 eV for the cell shown

=====

Entry 2:
Entry from the Alexandria database: AgSI after structural relaxation (PBE).

Geometry as extended XYZ:
```
6
Lattice="3.9213 0.0052 0.0052 1.9563 3.7692 0.0002 1.9374 -0.1303 11.2873" Properties=species:S:1:pos:R:3 pbc="T T T"
I 0.9687 -0.0651 5.6437
I 0.9781 1.8846 0.0001
S 4.8771 -0.0868 8.2339
S 2.9379 3.7310 3.0588
Ag 2.9417 1.2645 2.1581
Ag 4.8733 2.3797 9.1346
```

Properties
Magnetization   0.0 μB per cell
Excess energy over the best structure of this formula in the dataset   0.0977 eV/atom
Formation energy without anion corrections   0.0785 eV/atom
Energy   -16.59 eV for the cell shown

=====

Entry 3:
Entry from the Alexandria database: UTl2IrO6 after structural relaxation (PBE).

Geometry as extended XYZ:
```
10
Lattice="5.7911 0.0000 0.0012 0.0000 5.7920 0.0011 2.8966 2.8971 5.4730" Properties=species:S:1:pos:R:3 pbc="T T T"
U 0.0000 0.0000 0.0000
Tl 5.7918 2.8964 2.7365
Tl 2.8958 5.7927 2.7388
Ir 2.8955 2.8960 0.0012
O 2.8964 2.8969 3.5587
O 4.2374 4.2367 0.0024
O 4.4514 7.1349 5.4742
O 4.2362 1.5542 0.0012
O 4.4502 4.4524 5.4730
O 5.7912 5.7922 1.9166
```

Properties
Magnetization   2.7 μB per cell
Formation energy without anion corrections   -1.5951 eV/atom
Energy   -70.58 eV for the cell shown

=====

Entry 4:
Entry from the Alexandria database: LiPm3Sm2Te6 after structural relaxation (PBE).

Geometry as extended XYZ:
```
12
Lattice="-2.8388 -0.7347 3.3231 5.0315 -6.7323 2.8098 5.0212 7.9671 3.0956" Properties=species:S:1:pos:R:3 pbc="T T T"
Li -1.4194 -0.3673 1.6615
Pm 1.0964 -3.7335 3.0664
Pm 1.8146 3.5301 5.2859
Pm 5.3994 -3.0300 3.9427
Sm 4.3012 0.2186 6.6779
Sm 2.9128 0.2816 2.5506
Te 7.0707 -1.0265 5.8133
Te 2.7070 -1.7714 4.8761
Te 0.1433 1.5267 3.4152
Te 1.2010 -1.6010 0.6720
Te 6.0130 2.1012 8.5565
Te 4.5070 2.2715 4.3524
```

Properties
Magnetization   0.0 μB per cell
Formation energy without anion corrections   -1.3834 eV/atom
Energy   -61.05 eV for the cell shown

=====

Entry 5:
Entry from the Alexandria database: CaReSb2Te after structural relaxation (PBE).

Geometry as extended XYZ:
```
5
Lattice="5.0408 0.0000 0.0000 0.0000 5.0408 0.0000 0.0000 0.0000 6.2339" Properties=species:S:1:pos:R:3 pbc="T T T"
Re 0.0000 0.0000 0.0000
Ca 2.5204 2.5204 3.1170
Te 0.0000 0.0000 3.1170
Sb 0.0000 2.5204 0.0000
Sb 2.5204 0.0000 0.0000
```

Properties
Magnetization   0.0 μB per cell
Excess energy over the best structure of this formula in the dataset   0.0000 eV/atom
Formation energy without anion corrections   0.1854 eV/atom
Energy   -24.91 eV for the cell shown

=====

Entry 6:
Entry from the Alexandria database: NpSnHgI6 after structural relaxation (PBE).

Geometry as extended XYZ:
```
9
Lattice="7.9527 -0.0002 -0.0008 3.9763 6.8866 0.0005 0.0018 -0.0004 9.0332" Properties=species:S:1:pos:R:3 pbc="T T T"
Np 3.9772 2.2956 4.5160
Sn 7.9530 4.5902 4.5167
Hg 3.9782 6.8854 9.0329
I 1.5139 2.4059 2.7752
I 2.8416 0.1078 6.2576
I 6.4400 2.4059 6.2584
I 2.6500 4.3729 6.2584
I 5.3041 4.3728 2.7749
I 5.1125 0.1075 2.7749
```

Properties
Magnetization   3.0 μB per cell
Formation energy without anion corrections   -0.6007 eV/atom
Energy   -31.95 eV for the cell shown